Computed, not measured: crystalline MnCrHO2 at its relaxed geometry at the GGA+U level of DFT.

Output
Total DFT energy (no corrections) ... -0.44846 Ry per atom
V ... 50 Å³/f.u.
E above lowest polymorph ... 758 meV per atom

Unit cell a=9.3576 b=2.9763 c=3.9421 alpha=90.00 beta=113.96 gamma=90.00
Closest atoms and distances in Å follow each position.
Space group Cm (No. 8)
Asymmetric unit:
Mn  0.0000  0.0000  0.0000 x2  2 H 1.97, 4 O 2.00-2.03
Cr  0.1960  0.5000  0.6889 x2  4 O 1.97-2.00, 2 H 1.98
H  0.3485  0.0000  0.8416 x2  2 Mn 1.97, 2 Cr 1.98
O  0.0444  0.0000  0.5421 x2  2 Cr 1.97, 2 Mn 2.00-2.01
O  0.1622  0.5000  0.1571 x2  2 Cr 1.99-2.00, 2 Mn 2.03